Entry 1:
4
Lattice="-2.6488 -0.3422 -4.2878 2.8039 -0.7598 -4.1328 -0.4344 -2.1390 4.5557" Properties=species:S:1:pos:R:3 comment="YFe2Cu, optimized geometry, DFT PBE" vol_a3_per_cell=63.5 space_group=Immm e_form_ev_per_atom=0.247 magnetic_moment_mub_per_cell=4.5 pbc="T T T"
Cu 1.2235 -1.7249 -1.8937
Fe 0.0770 -0.5468 -4.1786
Fe 0.0006 -0.0042 -0.0317
Y -1.5028 -1.5161 -1.9712

---

Entry 2:
4
Lattice="3.8953 0.0000 0.0000 0.0000 3.8948 0.0000 0.0000 0.0000 4.0741" Properties=species:S:1:pos:R:3 comment="YFe2Cu, optimized geometry, DFT PBE" vol_a3_per_cell=61.8 space_group=P4/mmm e_form_ev_per_atom=0.243 magnetic_moment_mub_per_cell=3.7 pbc="T T T"
Y 1.9476 0.0000 2.0370
Fe 1.9476 1.9474 0.0000
Fe 0.0000 0.0000 0.0000
Cu 0.0000 1.9474 2.0370

---

Entry 3:
4
Lattice="-1.7543 2.4124 2.3147 -0.2138 -0.3046 3.7573 5.9835 4.5996 2.2736" Properties=species:S:1:pos:R:3 comment="Y2FeCu, optimized geometry, DFT PBE" vol_a3_per_cell=88.9 space_group=C2/m e_form_ev_per_atom=0.231 magnetic_moment_mub_per_cell=1.1 pbc="T T T"
Fe 1.0038 1.6769 2.0864
Y 1.9110 3.2933 4.1623
Y -1.8715 2.1682 6.0825
Cu 3.0115 5.0306 6.2592

---

Entry 4:
3
Lattice="-4.5832 2.6627 -1.2904 -4.5710 -0.1604 -2.9729 -2.3949 -1.1599 1.9288" Properties=species:S:1:pos:R:3 comment="YFeCu, optimized geometry, DFT PBE" vol_a3_per_cell=53.3 space_group=I4mm e_form_ev_per_atom=0.131 magnetic_moment_mub_per_cell=2.4 pbc="T T T"
Fe -6.7127 1.1793 -2.0266
Cu -2.5986 -1.0491 1.7419
Y -4.6327 0.0523 -0.1211

---

Entry 5:
4
Lattice="-3.6839 2.1992 3.7461 -5.5778 -0.6200 -0.9723 4.6496 -3.2882 0.0984" Properties=species:S:1:pos:R:3 comment="Y2FeCu, optimized geometry, DFT PBE" vol_a3_per_cell=82.8 space_group=I-4m2 e_form_ev_per_atom=0.198 magnetic_moment_mub_per_cell=1.2 pbc="T T T"
Y -2.7795 -1.5593 0.2565
Y 0.0000 0.0000 0.0000
Cu -4.6308 0.7896 1.3869
Fe -1.8326 -0.1497 2.6157

---

Entry 6:
3
Lattice="-4.0981 0.8842 -1.7910 -3.5949 -2.5506 1.1642 -3.2962 1.7628 2.6100" Properties=species:S:1:pos:R:3 comment="YFeCu, optimized geometry, DFT PBE" vol_a3_per_cell=67.0 space_group=F-43m e_form_ev_per_atom=0.900 magnetic_moment_mub_per_cell=2.4 pbc="T T T"
Fe -5.4946 0.0482 0.9916
Cu 0.0000 0.0000 0.0000
Y -8.2419 0.0723 1.4874

---

Entry 7:
5
Lattice="-0.8988 -1.3151 3.4046 2.7819 -2.5166 -0.2377 4.4621 1.7542 3.9304" Properties=species:S:1:pos:R:3 comment="YFe2Cu2, optimized geometry, DFT PBE" vol_a3_per_cell=79.1 space_group=I4/mmm e_above_lowest_polymorph_mev_per_atom=0 e_form_ev_per_atom=0.077 magnetic_moment_mub_per_cell=4.6 pbc="T T T"
Fe 4.0928 -1.3391 2.6381
Fe 2.2525 -0.7384 4.4592
Cu 1.7029 -1.1221 2.0910
Cu 4.6423 -0.9553 5.0063
Y 0.0000 0.0000 0.0000

---

Entry 8:
8
Lattice="-0.2892 2.2217 3.5052 -3.9853 0.8313 -0.8557 -4.5259 -5.5261 5.5978" Properties=species:S:1:pos:R:3 comment="YFe2Cu, optimized geometry, DFT PBE" vol_a3_per_cell=148.6 space_group=I-42d e_form_ev_per_atom=0.428 magnetic_moment_mub_per_cell=7.6 pbc="T T T"
Y -3.4761 -0.8890 5.2139
Y 0.0000 0.0000 0.0000
Cu -2.1372 1.5265 1.3247
Cu -5.3242 -1.5841 3.0334
Fe -3.7078 -0.2045 1.9019
Fe -6.4533 -1.6153 6.6629
Fe -5.6785 -2.8576 5.0456
Fe -1.7609 -0.2688 2.8841

---

Entry 9:
10
Lattice="-4.8894 2.7507 4.6964 3.5760 -3.1355 5.5596 1.5565 2.2803 0.2849" Properties=species:S:1:pos:R:3 comment="YFe2Cu2, optimized geometry, DFT PBE" vol_a3_per_cell=148.6 space_group=P4/mbm e_above_lowest_polymorph_mev_per_atom=117 e_form_ev_per_atom=0.194 magnetic_moment_mub_per_cell=8.4 pbc="T T T"
Cu -2.0909 2.3912 5.8055
Cu 2.3341 -0.4956 4.7354
Cu 0.4130 0.4206 7.8976
Cu -0.1698 1.4749 2.6432
Fe -2.1368 0.5123 7.5745
Fe -2.5943 1.3315 3.5167
Fe 1.2810 -1.7163 6.7392
Fe 0.8235 -0.8971 2.6814
Y -0.6567 -0.1924 5.1280
Y 0.0000 0.0000 0.0000

---

Entry 10:
6
Lattice="-3.7284 0.0121 3.5072 2.4819 -4.0498 2.6524 3.8650 2.6074 0.3645" Properties=species:S:1:pos:R:3 comment="YFeCu, optimized geometry, DFT PBE" vol_a3_per_cell=109.0 space_group=Cmcm e_form_ev_per_atom=0.133 magnetic_moment_mub_per_cell=4.1 pbc="T T T"
Y -0.6441 -0.2231 3.0515
Y 3.2626 -1.2072 3.4725
Cu 1.7565 0.4715 1.8657
Cu 0.8620 -1.9017 4.6583
Fe 0.0000 0.0000 0.0000
Fe 1.2410 -2.0249 1.3262

---

Entry 11:
4
Lattice="3.9812 -0.0036 0.0076 1.9942 3.4457 0.0076 1.9777 1.1392 4.8386" Properties=species:S:1:pos:R:3 comment="YFe2Cu, optimized geometry, DFT PBE" vol_a3_per_cell=66.3 space_group=R3m e_form_ev_per_atom=0.027 magnetic_moment_mub_per_cell=2.1 pbc="T T T"
Y 3.9750 2.2898 2.4915
Fe 5.9626 3.4348 4.4594
Fe 1.9786 1.1398 4.5938
Cu 1.9911 1.1470 0.5747

---

Entry 12:
4
Lattice="4.9594 -0.0095 -0.0278 1.7808 4.6287 0.0278 -3.0735 -2.7423 2.7622" Properties=species:S:1:pos:R:3 comment="YFe2Cu, optimized geometry, DFT PBE" vol_a3_per_cell=63.6 space_group=Imm2 e_form_ev_per_atom=0.209 magnetic_moment_mub_per_cell=4.3 pbc="T T T"
Cu 0.9727 2.0528 1.3950
Fe 2.8024 -0.1016 1.3672
Fe 6.5606 4.4961 0.0000
Y 3.4413 2.3584 0.0000

---

These records have density values of 6.9; 7.1; 5.6; 6.5; 6.0; 5.2; 6.9; 5.9; 7.3; 6.3; 6.6; 6.9 g cm⁻³, in the order they appear.